KSeS2Cl at its PBEsol-relaxed geometry, computed with meta-GGA SCAN.

Calculated values
Space group ... No. 123

Lattice parameters (Å, degrees): 5.7493 5.7493 5.5798 90.00 90.00 90.00
Fractional coordinates of all 5 atoms:
K 0.0000 0.0000 0.0000
Se 0.5000 0.5000 0.5000
S 0.0000 0.5000 0.0000
S 0.5000 0.0000 0.0000
Cl 0.0000 0.0000 0.5000

KSiSCl2 at its PBEsol-relaxed geometry, computed with meta-GGA SCAN.

Calculated values
Space group ... No. 123

Lattice parameters (Å, degrees): 4.9760 4.9760 4.5026 90.00 90.00 90.00
Fractional coordinates of all 5 atoms:
K 0.0000 0.0000 0.0000
Si 0.5000 0.5000 0.5000
S 0.5000 0.5000 0.0000
Cl 0.0000 0.5000 0.5000
Cl 0.5000 0.0000 0.5000

KSnSCl2 at its PBEsol-relaxed geometry, computed with meta-GGA SCAN.

Calculated values
Space group ... No. 123

Lattice parameters (Å, degrees): 5.3146 5.3146 5.4159 90.00 90.00 90.00
Fractional coordinates of all 5 atoms:
K 0.0000 0.0000 0.0000
Sn 0.5000 0.5000 0.5000
S 0.0000 0.0000 0.5000
Cl 0.0000 0.5000 0.0000
Cl 0.5000 0.0000 0.0000

KZnSCl2 at its PBEsol-relaxed geometry, computed with meta-GGA SCAN.

Calculated values
Space group ... No. 123

Lattice parameters (Å, degrees): 5.0386 5.0386 4.6007 90.00 90.00 90.00
Fractional coordinates of all 5 atoms:
K 0.0000 0.0000 0.0000
Zn 0.5000 0.5000 0.5000
S 0.5000 0.5000 0.0000
Cl 0.0000 0.5000 0.5000
Cl 0.5000 0.0000 0.5000

The calculation returns the following uncorrected formation energy values, one per record and in order: 4.162 -5.048 -0.955 -5.277 eV/f.u..
The calculation returns the following uncorrected energy values, one per record and in order: -10.30 -9.80 -14.16 -10.54 eV per atom.